1.
Here is a relaxed structure of NaLu2Sc from the Alexandria database. Energies are from PBE.

Computed properties:
energy of formation: 0.6 eV per formula unit
crystal system: tetragonal

a b c (Å): 3.4241 3.4241 10.0895
angles (deg): 90.00 90.00 90.00
With the nearest neighbours (Å) after each atom.
Atoms (fractional coordinates):
Lu: 0.0000 0.0000 0.2176  4 Sc 3.27, 4 Lu 3.42
Lu: 0.0000 0.0000 0.7824  4 Sc 3.27, 4 Lu 3.42
Sc: 0.5000 0.5000 0.0000  8 Lu 3.27, 4 Sc 3.42
Na: 0.5000 0.5000 0.5000  4 Na 3.42, 8 Lu 3.74



2.
Here is a relaxed structure of LiHF3 from the Alexandria database. Energies are from PBE.

Computed properties:
uncorrected energy: -3.83 eV per atom
crystal system: monoclinic

a b c (Å): 3.5679 6.3354 5.8904
angles (deg): 90.00 90.00 115.60
With the nearest neighbours (Å) after each atom.
Atoms (fractional coordinates):
Li: 0.2868 0.7654 0.2500  4 F 1.90-1.93
Li: 0.7132 0.2346 0.7500  4 F 1.90-1.93
F: 0.1327 0.7938 0.9422  1 H 1.14
F: 0.8673 0.2062 0.4422  1 H 1.14
F: 0.1327 0.7938 0.5578  1 H 1.14
F: 0.6951 0.6480 0.2500  2 Li 1.90-1.91
F: 0.3049 0.3520 0.7500  2 Li 1.90-1.91
F: 0.8673 0.2062 0.0578  1 H 1.14
H: 0.0980 0.7759 0.7500  2 F 1.14
H: 0.9020 0.2241 0.2500  2 F 1.14



3.
Here is a relaxed structure of BC2 from the Alexandria database. Energies are from PBE.

Computed properties:
energy of formation: 1.0 eV per formula unit
crystal system: monoclinic

a b c (Å): 2.5453 4.6928 6.4122
angles (deg): 96.30 90.00 90.00
With the nearest neighbours (Å) after each atom.
Atoms (fractional coordinates):
C: 0.0000 0.3025 0.3537  2 C 1.47-1.53, 2 B 1.58
C: 0.5000 0.8263 0.5645  1 C 1.61, 3 B 1.66-1.71
C: 0.0000 0.0184 0.2312  2 C 1.47-1.53, 2 B 1.63
C: 0.5000 0.1768 0.9185  3 C 1.57-1.60, 1 B 1.71
C: 0.5000 0.1545 0.6672  4 C 1.56-1.61
C: 0.0000 0.0215 0.9935  4 C 1.51-1.57
C: 0.0000 0.7060 0.9146  1 C 1.51, 3 B 1.56-1.64
C: 0.0000 0.3050 0.5918  3 C 1.53-1.56, 1 B 1.62
B: 0.5000 0.4691 0.2854  2 C 1.58, 1 B 1.72
B: 0.0000 0.6461 0.6702  4 C 1.56-1.71
B: 0.5000 0.8382 0.3064  3 C 1.63-1.66, 1 B 1.72
B: 0.5000 0.5357 0.0030  3 C 1.64-1.71



4.
Here is a relaxed structure of Tb8YSn6 from the Alexandria database. Energies are from PBE.

Computed properties:
energy of formation: -8.3 eV per formula unit
crystal system: trigonal

a b c (Å): 9.0645 9.0645 8.3477
angles (deg): 57.12 57.12 60.00
With the nearest neighbours (Å) after each atom.
Atoms (fractional coordinates):
Sn: 0.7346 0.3997 0.7984  7 Tb 3.11-3.38, 1 Y 3.29
Sn: 0.2654 0.6003 0.2016  7 Tb 3.11-3.38, 1 Y 3.29
Sn: 0.0673 0.7346 0.7984  7 Tb 3.11-3.38, 1 Y 3.29
Sn: 0.6003 0.9327 0.2016  7 Tb 3.11-3.38, 1 Y 3.29
Sn: 0.3997 0.0673 0.7984  7 Tb 3.11-3.38, 1 Y 3.29
Sn: 0.9327 0.2654 0.2016  7 Tb 3.11-3.38, 1 Y 3.29
Tb: 0.7718 0.1056 0.6826  5 Sn 3.11-3.38
Tb: 0.2282 0.8944 0.3174  5 Sn 3.11-3.38
Tb: 0.5600 0.2282 0.3174  5 Sn 3.11-3.38
Tb: 0.8944 0.5600 0.3174  5 Sn 3.11-3.38
Tb: 0.4400 0.7718 0.6826  5 Sn 3.11-3.38
Tb: 0.1056 0.4400 0.6826  5 Sn 3.11-3.38
Tb: 0.6666 0.6666 0.0003  6 Sn 3.30, 6 Tb 3.66
Tb: 0.3334 0.3334 0.9997  6 Sn 3.30, 6 Tb 3.66
Y: 0.0000 0.0000 0.0000  6 Sn 3.29, 6 Tb 3.66



5.
Here is a relaxed structure of FeCu2Si from the Alexandria database. Energies are from PBE.

Computed properties:
formation energy without anion corrections: -62 meV/atom
crystal system: tetragonal

a b c (Å): 3.5214 3.5214 3.7931
angles (deg): 90.00 90.00 90.00
With the nearest neighbours (Å) after each atom.
Atoms (fractional coordinates):
Si: 0.0000 0.5000 0.5000  4 Fe 2.49, 8 Cu 2.59
Fe: 0.5000 0.0000 0.5000  4 Si 2.49, 8 Cu 2.59
Cu: 0.5000 0.5000 0.0000  4 Cu 2.49, 4 Fe 2.59, 4 Si 2.59
Cu: 0.0000 0.0000 0.0000  4 Cu 2.49, 4 Fe 2.59, 4 Si 2.59



6.
Here is a relaxed structure of TlSb2Os from the Alexandria database. Energies are from PBE.

Computed properties:
formation energy without anion corrections: 918 meV/atom
crystal system: orthorhombic

a b c (Å): 3.6970 4.8107 5.0499
angles (deg): 90.00 90.00 90.00
With the nearest neighbours (Å) after each atom.
Atoms (fractional coordinates):
Os: 0.0000 0.5000 0.5000  4 Tl 3.03, 4 Sb 3.13
Tl: 0.5000 0.0000 0.5000  4 Os 3.03, 4 Sb 3.13
Sb: 0.0000 0.0000 0.0000  4 Sb 3.03, 4 Tl 3.13
Sb: 0.5000 0.5000 0.0000  4 Sb 3.03, 4 Os 3.13



7.
Here is a relaxed structure of Na2ThInBr8 from the Alexandria database. Energies are from PBE.

Computed properties:
formation energy without anion corrections: -1379 meV/atom
crystal system: monoclinic

a b c (Å): 7.0435 6.8322 9.0683
angles (deg): 90.02 89.99 95.12
With the nearest neighbours (Å) after each atom.
Atoms (fractional coordinates):
Br: 0.3289 0.2726 0.0000  1 Th 2.84, 2 Na 2.99
Br: 0.1640 0.7876 0.2332  1 Th 2.87, 1 In 3.10
Br: 0.6893 0.7141 0.5000  1 In 2.80, 2 Na 2.91
Br: 0.6711 0.7274 0.0000  1 Th 2.84, 2 Na 2.99
Br: 0.8360 0.2124 0.2333  1 Th 2.87, 1 In 3.10
Br: 0.1640 0.7876 0.7667  1 Th 2.87, 1 In 3.10
Br: 0.3107 0.2859 0.5000  1 In 2.80, 2 Na 2.91
Br: 0.8360 0.2124 0.7668  1 Th 2.87, 1 In 3.10
Na: 0.5000 0.5000 0.2561  6 Br 2.91-3.22
Na: 0.5000 0.5000 0.7439  6 Br 2.91-3.22
In: 0.0000 0.0000 0.5000  6 Br 2.80-3.10
Th: 0.0000 0.0000 0.0000  6 Br 2.84-2.87



8.
Here is a relaxed structure of Tb2Pr3Ho3 from the Alexandria database. Energies are from PBE.

Computed properties:
energy of formation: 0.2 eV per formula unit
crystal system: orthorhombic

a b c (Å): 5.0794 5.1077 10.8258
angles (deg): 103.64 103.57 90.00
With the nearest neighbours (Å) after each atom.
Atoms (fractional coordinates):
Tb: 0.2492 0.7492 0.4985  4 Ho 3.57-3.60, 4 Pr 3.60-3.61, 4 Tb 3.60
Tb: 0.7508 0.2508 0.5015  4 Ho 3.57-3.60, 4 Pr 3.60-3.61, 4 Tb 3.60
Pr: 0.1250 0.1250 0.2500  4 Tb 3.60-3.61, 6 Ho 3.60, 2 Pr 3.61
Pr: 0.8750 0.8750 0.7500  4 Tb 3.60-3.61, 6 Ho 3.60, 2 Pr 3.61
Pr: 0.0000 0.5000 0.0000  8 Ho 3.60-3.62, 4 Pr 3.61
Ho: 0.5000 0.0000 0.0000  8 Pr 3.60, 4 Ho 3.63
Ho: 0.6265 0.6265 0.2530  4 Tb 3.57-3.60, 6 Pr 3.60-3.62, 2 Ho 3.63
Ho: 0.3735 0.3735 0.7470  4 Tb 3.57-3.60, 6 Pr 3.60-3.62, 2 Ho 3.63



9.
Here is a relaxed structure of SnHg2Au2 from the Alexandria database. Energies are from PBE.

Computed properties:
energy of formation: 0.5 eV per formula unit
crystal system: tetragonal

a b c (Å): 8.4181 8.4181 3.1549
angles (deg): 90.00 90.00 90.00
With the nearest neighbours (Å) after each atom.
Atoms (fractional coordinates):
Hg: 0.8713 0.6287 0.0000  6 Au 2.86-2.99, 3 Hg 3.07-3.15
Hg: 0.3713 0.8713 0.0000  6 Au 2.86-2.99, 3 Hg 3.07-3.15
Hg: 0.6287 0.1287 0.0000  6 Au 2.86-2.99, 3 Hg 3.07-3.15
Hg: 0.1287 0.3713 0.0000  6 Au 2.86-2.99, 3 Hg 3.07-3.15
Au: 0.3293 0.1707 0.5000  6 Hg 2.86-2.99, 2 Au 3.15
Au: 0.1707 0.6707 0.5000  6 Hg 2.86-2.99, 2 Au 3.15
Au: 0.8293 0.3293 0.5000  6 Hg 2.86-2.99, 2 Au 3.15
Au: 0.6707 0.8293 0.5000  6 Hg 2.86-2.99, 2 Au 3.15
Sn: 0.0000 0.0000 0.0000  2 Sn 3.15, 4 Hg 3.31, 8 Au 3.50
Sn: 0.5000 0.5000 0.0000  2 Sn 3.15, 4 Hg 3.31, 8 Au 3.50



10.
Here is a relaxed structure of ScTa2Pb from the Alexandria database. Energies are from PBE.

Computed properties:
energy of formation: 1.1 eV per formula unit
crystal system: trigonal

a b c (Å): 9.6838 9.6838 9.6838
angles (deg): 19.37 19.37 19.37
With the nearest neighbours (Å) after each atom.
Atoms (fractional coordinates):
Pb: 0.5032 0.5032 0.5032  3 Ta 3.13, 3 Sc 3.24, 6 Pb 3.26
Ta: 0.2577 0.2577 0.2577  3 Ta 2.76
Ta: 0.9951 0.9951 0.9951  3 Ta 2.76, 3 Sc 3.01
Sc: 0.7440 0.7440 0.7440  3 Ta 3.01, 3 Pb 3.24, 6 Sc 3.26



11.
Here is a relaxed structure of NaMg2W2 from the Alexandria database. Energies are from PBE.

Computed properties:
energy of formation: 3.4 eV per formula unit
crystal system: tetragonal

a b c (Å): 8.7457 8.7457 2.6971
angles (deg): 90.00 90.00 90.00
With the nearest neighbours (Å) after each atom.
Atoms (fractional coordinates):
Mg: 0.8144 0.3144 0.5000  2 Mg 2.70, 6 W 2.94-2.96
Mg: 0.3144 0.1856 0.5000  2 Mg 2.70, 6 W 2.94-2.96
Mg: 0.6856 0.8144 0.5000  2 Mg 2.70, 6 W 2.94-2.96
Mg: 0.1856 0.6856 0.5000  2 Mg 2.70, 6 W 2.94-2.96
W: 0.1012 0.3988 0.0000  3 W 2.50-2.70
W: 0.6012 0.1012 0.0000  3 W 2.50-2.70
W: 0.8988 0.6012 0.0000  3 W 2.50-2.70
W: 0.3988 0.8988 0.0000  3 W 2.50-2.70
Na: 0.0000 0.0000 0.0000  2 Na 2.70
Na: 0.5000 0.5000 0.0000  2 Na 2.70



12.
Here is a relaxed structure of HfPb3Br from the Alexandria database. Energies are from PBE.

Computed properties:
formation energy without anion corrections: 267 meV/atom
crystal system: cubic

a b c (Å): 5.7083 5.7083 5.7083
angles (deg): 90.00 90.00 90.00
With the nearest neighbours (Å) after each atom.
Atoms (fractional coordinates):
Br: 0.5000 0.5000 0.5000  12 Pb 4.04
Pb: 0.5000 0.0000 0.0000  2 Hf 2.85
Pb: 0.0000 0.0000 0.5000  2 Hf 2.85
Pb: 0.0000 0.5000 0.0000  2 Hf 2.85
Hf: 0.0000 0.0000 0.0000  6 Pb 2.85



13.
Here is a relaxed structure of YHgBr2 from the Alexandria database. Energies are from PBE.

Computed properties:
formation energy without anion corrections: -713 meV/atom
crystal system: monoclinic

a b c (Å): 6.1625 6.0477 3.7664
angles (deg): 72.97 87.92 119.88
With the nearest neighbours (Å) after each atom.
Atoms (fractional coordinates):
Hg: 0.0000 0.5000 0.5000  4 Br 3.06
Br: 0.5000 0.0000 0.5000  2 Hg 3.06, 2 Y 3.06
Br: 0.0000 0.0000 0.0000  2 Y 3.06, 2 Hg 3.06
Y: 0.5000 0.5000 0.0000  4 Br 3.06